[1]
The following is a DFT calculation (PBE-GGA) of crystalline Ca5GaPb4 at its relaxed geometry.

```
Ca5GaPb4
1.0
3.751 0.000 0.000
0.000 3.751 0.000
0.000 0.000 20.846
Pb Ca Ga
4 5 1
direct
0.000 0.000 0.605 Pb
0.000 0.000 0.813 Pb
0.000 0.000 0.395 Pb
0.000 0.000 0.187 Pb
0.500 0.500 0.914 Ca
0.500 0.500 0.500 Ca
0.500 0.500 0.291 Ca
0.500 0.500 0.086 Ca
0.500 0.500 0.709 Ca
0.000 0.000 0.000 Ga
```

Total moment   0.000 μB/f.u.
V   293 Å³ per cell
Density of states at the Fermi level   3.44 states/eV per cell
Formation energy   -0.516 eV/atom

=====

[2]
The following is a DFT calculation (PBE-GGA) of crystalline Ca3GaPb2 at its relaxed geometry.

```
Ca3GaPb2
1.0
-1.364 2.211 -3.740
9.606 -5.123 -6.534
-7.426 -9.908 -3.149
Ca Pb Ga
12 8 4
direct
0.750 0.950 0.122 Ca
0.750 0.619 0.943 Ca
0.250 0.792 0.713 Ca
0.250 0.119 0.557 Ca
0.750 0.292 0.787 Ca
0.750 0.550 0.622 Ca
0.250 0.450 0.378 Ca
0.750 0.881 0.443 Ca
0.250 0.381 0.057 Ca
0.250 0.708 0.213 Ca
0.750 0.208 0.287 Ca
0.250 0.050 0.878 Ca
0.250 0.686 0.487 Pb
0.750 0.314 0.513 Pb
0.750 0.000 0.694 Pb
0.750 0.500 0.194 Pb
0.250 0.000 0.306 Pb
0.250 0.500 0.806 Pb
0.250 0.814 0.987 Pb
0.750 0.186 0.013 Pb
0.250 0.155 0.143 Ga
0.750 0.845 0.857 Ga
0.250 0.345 0.643 Ga
0.750 0.655 0.357 Ga
```

Total moment   0.000 μB/f.u.
V   739 Å³ per cell
Density of states at the Fermi level   11.35 states/eV per cell
Formation energy   -0.463 eV/atom

=====

[3]
The following is a DFT calculation (PBE-GGA) of crystalline CaGaPb at its relaxed geometry.

```
CaGaPb
1.0
3.830 0.000 0.000
0.000 3.830 0.000
-1.915 -1.915 5.553
Pb Ca Ga
1 1 1
direct
0.928 0.928 0.856 Pb
0.624 0.624 0.247 Ca
0.298 0.298 0.597 Ga
```

Total moment   0.000 μB/f.u.
V   81 Å³ per cell
Density of states at the Fermi level   1.25 states/eV per cell
Formation energy   -0.277 eV/atom